# Ce2PbI2

A relaxed structure of Ce2PbI2 (GGA-PBE, the Alexandria database).

Cell lengths 11.612, 11.612, 11.612 Å; angles 22.62, 22.62, 22.62 degrees
Sites, in units of the cell vectors:
Ce: 0.113 0.113 0.113
Ce: 0.887 0.887 0.887
Pb: 0.500 0.500 0.500
I: 0.278 0.278 0.278
I: 0.722 0.722 0.722

Total DFT energy (no corrections): -0.342 Ry per atom
Symmetry: R-3m
D(E_F): 2.92 states/eV per atom